TlSn2Cl4 (PBE, optimized geometry); symmetry = No. 1; total magnetic moment = 0.057 μB per atom; E = -0.125 hartree per atom
1.0
6.460 0.000 0.000
-1.642 8.613 0.000
-2.306 -4.266 7.839
Tl Sn Cl
2 4 8
Direct
0.000 0.000 0.000 Tl
0.326 0.554 0.737 Tl
0.139 0.767 0.356 Sn
0.638 0.238 0.888 Sn
0.649 0.771 0.382 Sn
0.671 0.269 0.396 Sn
0.064 0.457 0.346 Cl
0.277 0.149 0.419 Cl
0.325 0.924 0.742 Cl
0.458 0.337 0.147 Cl
0.604 0.943 0.155 Cl
0.712 0.660 0.618 Cl
0.838 0.100 0.631 Cl
0.972 0.618 0.016 Cl